# 1
# Mg2Ge5Rh3 | the Alexandria database | PBE | optimized geometry
# E ... -5.213 eV/atom
# Density of states at the Fermi level ... 15.5 states/eV per cell
# Magnetization ... 0.0000 μB per atom
data_Mg2Ge5Rh3
_cell_length_a 11.387
_cell_length_b 11.370
_cell_length_c 5.654
_cell_angle_alpha 90.00
_cell_angle_beta 110.72
_cell_angle_gamma 90.00
_space_group_name_H-M_alt 'C 1 2/c 1'
_space_group_IT_number 15
_space_group_name_Hall '-C 2yc'
loop_
_atom_site_label
_atom_site_fract_x
_atom_site_fract_y
_atom_site_fract_z
Mg1 0.152 0.249 0.174
Ge1 0.000 0.453 0.250
Ge2 0.091 0.156 0.615
Ge3 0.247 0.005 0.947
Rh1 0.000 0.026 0.250
Rh2 0.115 0.367 0.685

***

# 2
# MgGeRh | the Alexandria database | PBE | optimized geometry
# E ... -4.991 eV/atom
# Density of states at the Fermi level ... 3.3 states/eV per cell
# Magnetization ... 0.0000 μB per atom
data_MgGeRh
_cell_length_a 5.723
_cell_length_b 7.700
_cell_length_c 5.344
_cell_angle_alpha 90.00
_cell_angle_beta 120.82
_cell_angle_gamma 90.00
_space_group_name_H-M_alt 'C 1 2/m 1'
_space_group_IT_number 12
_space_group_name_Hall '-C 2y'
loop_
_atom_site_label
_atom_site_fract_x
_atom_site_fract_y
_atom_site_fract_z
Mg1 0.000 0.190 0.000
Ge1 0.119 0.500 0.325
Rh1 0.000 0.218 0.500

***

# 3
# MgGe2Rh4 | the Alexandria database | PBE | optimized geometry
# E ... -5.330 eV/atom
# Density of states at the Fermi level ... 11.2 states/eV per cell
# Magnetization ... 0.0000 μB per atom
data_MgGe2Rh4
_cell_length_a 4.441
_cell_length_b 4.441
_cell_length_c 12.476
_cell_angle_alpha 90.00
_cell_angle_beta 90.00
_cell_angle_gamma 90.00
_space_group_name_H-M_alt 'I 4/m m m'
_space_group_IT_number 139
_space_group_name_Hall '-I 4 2'
loop_
_atom_site_label
_atom_site_fract_x
_atom_site_fract_y
_atom_site_fract_z
Mg1 0.000 0.000 0.000
Ge1 0.000 0.000 0.383
Rh1 0.000 0.000 0.197
Rh2 0.000 0.500 0.000

***

# 4
# MgGe2Rh | the Alexandria database | PBE | optimized geometry
# E ... -4.806 eV/atom
# Density of states at the Fermi level ... 0.7 states/eV per cell
# Magnetization ... 0.0000 μB per atom
data_MgGe2Rh
_cell_length_a 3.214
_cell_length_b 3.214
_cell_length_c 6.540
_cell_angle_alpha 90.00
_cell_angle_beta 90.00
_cell_angle_gamma 90.00
_space_group_name_H-M_alt 'P 4/m m m'
_space_group_IT_number 123
_space_group_name_Hall '-P 4 2'
loop_
_atom_site_label
_atom_site_fract_x
_atom_site_fract_y
_atom_site_fract_z
Mg1 0.000 0.000 0.000
Ge1 0.500 0.500 0.287
Rh1 0.000 0.000 0.500